1.
4
Lattice="-4.539 3.288 -0.238 -4.852 -2.052 -1.927 -4.277 -0.864 3.525" Properties=species:S:1:pos:R:3 comment="Pr2PuMg, optimized geometry, DFT PBE" dos_ef_per_ev_atom=3.914 relative_energy_mev_per_atom=76.8 vol_a3_per_cell=125 space_group="No. 225" e_form_mev_per_atom=148 pbc="T T T"
Pr -10.251 0.279 1.020
Pr -3.417 0.093 0.340
Pu 0.000 0.000 0.000
Mg -6.834 0.186 0.680



2.
4
Lattice="-3.329 0.955 1.019 -1.302 -3.076 -1.371 1.329 -4.289 8.363" Properties=species:S:1:pos:R:3 comment="Pr2PuMg, optimized geometry, DFT PBE" dos_ef_per_ev_atom=2.452 relative_energy_mev_per_atom=0.0 vol_a3_per_cell=124 space_group="No. 123" e_form_mev_per_atom=71 pbc="T T T"
Mg -2.316 -1.060 -0.176
Pr 0.323 -1.041 2.029
Pr 1.007 -3.248 6.334
Pu -1.651 -3.205 4.006



3.
10
Lattice="-2.369 3.003 0.716 -2.732 -2.459 1.278 7.184 1.375 18.003" Properties=species:S:1:pos:R:3 comment="Pr4PuMg5, optimized geometry, DFT PBE" dos_ef_per_ev_atom=1.453 vol_a3_per_cell=294 space_group="No. 123" e_form_mev_per_atom=-37 pbc="T T T"
Pr 4.321 0.827 10.829
Pr 5.776 1.105 14.474
Pr 1.408 0.269 3.529
Pr 2.862 0.548 7.174
Mg 3.943 1.515 17.269
Mg -1.860 0.404 2.727
Mg 2.496 1.238 13.644
Mg -0.413 0.681 6.353
Mg 1.042 0.960 9.998
Pu 0.000 0.000 0.000



4.
4
Lattice="-1.990 1.825 2.542 -4.573 -0.199 -3.437 -1.555 -4.979 2.358" Properties=species:S:1:pos:R:3 comment="Pr2PuMg, optimized geometry, DFT PBE" dos_ef_per_ev_atom=2.497 relative_energy_mev_per_atom=4.2 vol_a3_per_cell=122 space_group="No. 123" e_form_mev_per_atom=75 pbc="T T T"
Pr -0.777 -2.489 1.179
Pr -2.287 -0.100 -1.718
Mg -0.995 0.913 1.271
Pu -4.059 -1.677 0.732



5.
4
Lattice="-4.195 -1.017 3.432 -4.416 -2.776 -1.790 -0.930 -5.139 1.770" Properties=species:S:1:pos:R:3 comment="PrPuThMg, optimized geometry, DFT PBE" dos_ef_per_ev_atom=4.017 vol_a3_per_cell=119 space_group="No. 216" e_form_mev_per_atom=176 pbc="T T T"
Pu -4.770 -4.466 1.706
Mg 0.000 0.000 0.000
Pr -2.385 -2.233 0.853
Th -7.155 -6.699 2.559



6.
4
Lattice="5.475 0.000 0.000 2.737 4.741 0.000 2.737 1.580 4.470" Properties=species:S:1:pos:R:3 comment="PrPuMgTl, optimized geometry, DFT PBE" dos_ef_per_ev_atom=2.319 vol_a3_per_cell=116 space_group="No. 216" e_form_mev_per_atom=-44 pbc="T T T"
Mg 5.475 3.161 2.235
Pu 2.737 1.580 1.118
Pr 8.212 4.741 3.353
Tl 0.000 0.000 0.000



7.
4
Lattice="5.506 0.000 0.000 2.753 4.768 0.000 2.753 1.589 4.495" Properties=species:S:1:pos:R:3 comment="PrTmPuMg, optimized geometry, DFT PBE" dos_ef_per_ev_atom=3.605 vol_a3_per_cell=118 space_group="No. 216" e_form_mev_per_atom=162 pbc="T T T"
Tm 2.753 1.589 1.124
Pr 8.258 4.768 3.371
Mg 0.000 0.000 0.000
Pu 5.506 3.179 2.248



8.
9
Lattice="4.293 0.000 0.000 0.000 8.403 0.373 -2.146 -2.984 7.666" Properties=species:S:1:pos:R:3 comment="Rb2PrMg2Se4, optimized geometry, DFT PBE" dos_ef_per_ev_atom=0.380 e_form_raw_mev_per_atom=-1310.2 vol_a3_per_cell=281 space_group="No. 12" pbc="T T T"
Se 2.146 5.232 4.845
Se 2.146 6.233 0.633
Se 0.000 0.187 3.194
Se 0.000 -0.813 7.405
Rb 2.146 1.628 5.921
Rb 0.000 3.791 2.117
Mg 0.000 -1.762 5.043
Mg 2.146 7.181 2.995
Pr 0.000 0.000 0.000



9.
12
Lattice="-7.007 1.119 -2.317 2.250 -6.854 1.918 -0.701 3.294 7.734" Properties=species:S:1:pos:R:3 comment="Rb3Pr2MgSe6, optimized geometry, DFT PBE" dos_ef_per_ev_atom=0.989 e_form_raw_mev_per_atom=-1423.2 vol_a3_per_cell=389 space_group="No. 12" pbc="T T T"
Rb 0.336 -3.861 5.070
Rb -2.729 -1.220 3.667
Rb -5.794 1.420 2.265
Pr -0.838 -4.194 0.505
Pr -3.918 -1.541 -0.904
Se 0.269 -1.919 2.112
Se -3.689 -3.626 1.236
Se -2.691 0.631 0.758
Se -2.767 -3.072 6.577
Se -1.769 1.185 6.098
Se -5.727 -0.522 5.223
Mg 0.000 0.000 0.000



10.
12
Lattice="4.643 0.000 0.000 0.000 10.089 -0.330 0.000 -3.007 10.529" Properties=species:S:1:pos:R:3 comment="RbPrMgTe3, optimized geometry, DFT PBE" dos_ef_per_ev_atom=0.000 e_form_raw_mev_per_atom=-1221.8 vol_a3_per_cell=489 space_group="No. 11" pbc="T T T"
Te 3.482 4.197 1.580
Te 1.161 2.885 8.619
Te 1.161 6.616 4.612
Te 3.482 0.466 5.587
Te 3.482 8.610 1.120
Te 1.161 -1.528 9.079
Rb 3.482 5.684 7.800
Rb 1.161 1.398 2.399
Mg 1.161 -0.984 6.367
Mg 3.482 8.066 3.832
Pr 3.482 0.714 8.992
Pr 1.161 6.368 1.208



11.
4
Lattice="-3.147 -0.441 -0.165 -1.304 -2.631 1.226 -2.787 4.422 10.653" Properties=species:S:1:pos:R:3 comment="Pr2MgRe, optimized geometry, DFT PBE" dos_ef_per_ev_atom=1.574 vol_a3_per_cell=103 space_group="No. 166" e_form_mev_per_atom=860 pbc="T T T"
Pr -4.761 -1.776 3.511
Pr -2.477 3.127 8.203
Re 0.000 0.000 0.000
Mg -3.619 0.675 5.857



12.
14
Lattice="6.826 1.089 0.340 -2.066 6.596 0.340 -0.347 -0.560 7.114" Properties=species:S:1:pos:R:3 comment="Pr3MgRh3, optimized geometry, DFT PBE" dos_ef_per_ev_atom=0.757 relative_energy_mev_per_atom=164.3 vol_a3_per_cell=339 space_group="No. 12" e_form_mev_per_atom=-459 pbc="T T T"
Pr 1.403 2.265 4.781
Pr 3.010 4.860 3.014
Pr 0.156 5.220 0.340
Pr 5.089 1.777 3.897
Pr -0.676 5.348 3.897
Pr 4.603 2.465 0.340
Rh 0.043 0.070 5.807
Rh 4.369 7.055 1.987
Rh 3.279 0.475 2.116
Rh 5.448 3.977 5.679
Rh 1.134 6.650 5.679
Rh -1.036 3.147 2.116
Mg 1.083 1.749 1.166
Mg 3.329 5.376 6.628



13.
16
Lattice="-2.620 1.306 -3.515 4.409 -2.388 -4.174 -4.246 -8.105 0.152" Properties=species:S:1:pos:R:3 comment="PrMg3Rh4, optimized geometry, DFT PBE" dos_ef_per_ev_atom=0.528 vol_a3_per_cell=273 space_group="No. 123" e_form_mev_per_atom=-496 pbc="T T T"
Pr 2.205 -1.194 -2.087
Pr 0.081 -5.247 -2.011
Rh -2.414 -3.951 -2.646
Rh -0.043 -5.236 -4.890
Rh 2.080 -1.183 -4.967
Rh -2.661 -1.273 -4.439
Rh -2.168 -6.630 -0.852
Rh -0.289 -2.557 -6.684
Rh -0.291 0.101 -2.722
Rh 0.204 -7.915 -3.097
Mg -2.123 -4.052 0.076
Mg 0.000 0.000 0.000
Mg -0.166 -2.568 -3.806
Mg -2.291 -6.620 -3.731
Mg -4.496 -5.425 -1.645
Mg -2.370 -1.374 -1.717



14.
4
Lattice="-2.663 -1.895 4.117 -1.140 -5.125 0.259 2.428 -3.058 3.518" Properties=species:S:1:pos:R:3 comment="Pr2MgRh, optimized geometry, DFT PBE" dos_ef_per_ev_atom=0.763 relative_energy_mev_per_atom=75.7 vol_a3_per_cell=103 space_group="No. 225" e_form_mev_per_atom=-270 pbc="T T T"
Rh 0.000 0.000 0.000
Pr -1.031 -7.559 5.921
Pr -0.344 -2.520 1.974
Mg -0.687 -5.039 3.947



15.
12
Lattice="5.375 0.000 0.000 2.688 4.655 0.000 2.688 1.552 8.826" Properties=species:S:1:pos:R:3 comment="Pr3MgRh8, optimized geometry, DFT PBE" dos_ef_per_ev_atom=0.838 vol_a3_per_cell=221 space_group="No. 160" e_form_mev_per_atom=-548 pbc="T T T"
Rh 2.688 1.552 3.851
Rh 4.030 2.327 1.688
Rh 6.721 2.327 1.688
Rh 9.403 5.429 6.027
Rh 8.063 3.109 6.027
Rh 6.724 5.429 6.027
Rh 8.063 4.655 8.271
Rh 5.375 4.657 1.688
Mg 8.063 4.655 3.361
Pr 8.063 4.655 0.105
Pr 5.375 3.104 4.321
Pr 5.375 3.104 7.699



16.
19
Lattice="6.862 -0.004 -0.003 0.887 6.804 -0.003 0.887 0.778 6.760" Properties=species:S:1:pos:R:3 comment="Pr2Mg2Rh15, optimized geometry, DFT PBE" dos_ef_per_ev_atom=1.508 vol_a3_per_cell=316 space_group="No. 166" e_form_mev_per_atom=-271 pbc="T T T"
Rh 5.075 0.230 2.019
Rh 0.887 5.002 2.019
Rh 2.189 4.934 4.397
Rh 5.176 1.530 4.397
Rh 0.443 0.389 3.380
Rh 5.176 4.543 1.015
Rh 3.459 3.036 5.738
Rh 3.431 -0.002 -0.002
Rh 3.459 6.048 2.357
Rh 6.446 2.645 2.357
Rh 5.075 2.032 -0.003
Rh 0.443 3.402 -0.002
Rh 0.887 2.580 4.737
Rh 2.673 0.544 4.737
Rh 2.673 4.769 -0.003
Pr 3.013 2.644 2.356
Pr 5.622 4.935 4.397
Mg 7.743 6.796 6.055
Mg 0.892 0.783 0.698



17.
12
Lattice="-2.797 -0.678 -3.468 2.371 -5.970 -0.745 -3.290 -2.053 5.976" Properties=species:S:1:pos:R:3 comment="PrMg5Rh6, optimized geometry, DFT PBE" dos_ef_per_ev_atom=0.499 vol_a3_per_cell=197 space_group="No. 65" e_form_mev_per_atom=-491 pbc="T T T"
Mg -1.942 -4.580 2.455
Mg -1.774 -4.121 -0.692
Mg -3.016 -1.165 -0.266
Mg 1.186 -2.985 -0.373
Mg -3.072 -1.566 2.774
Rh -2.727 -6.331 0.501
Rh -0.989 -2.370 1.262
Rh -3.867 -3.463 0.859
Rh 0.150 -5.238 0.904
Rh 0.340 -4.715 -2.280
Rh -0.766 -1.933 -1.933
Pr 0.000 0.000 0.000



18.
4
Lattice="-2.391 3.048 1.099 -0.864 -3.757 1.172 6.145 2.619 6.038" Properties=species:S:1:pos:R:3 comment="Pr2MgRh, optimized geometry, DFT PBE" dos_ef_per_ev_atom=0.764 relative_energy_mev_per_atom=50.2 vol_a3_per_cell=122 space_group="No. 12" e_form_mev_per_atom=-295 pbc="T T T"
Pr -0.220 1.805 3.666
Pr 3.481 1.456 5.284
Rh 1.198 -0.249 5.061
Mg -0.680 -3.079 1.492



19.
5
Lattice="5.572 0.000 0.000 0.000 5.572 0.000 0.000 0.000 5.572" Properties=species:S:1:pos:R:3 comment="Pr3MgRh, optimized geometry, DFT PBE" dos_ef_per_ev_atom=1.118 relative_energy_mev_per_atom=135.3 vol_a3_per_cell=173 space_group="No. 221" e_form_mev_per_atom=-162 pbc="T T T"
Mg 2.786 2.786 2.786
Pr 0.000 2.786 0.000
Pr 0.000 0.000 2.786
Pr 2.786 0.000 0.000
Rh 0.000 0.000 0.000



20.
11
Lattice="-6.715 2.763 0.264 -0.248 -7.231 2.629 2.718 -0.457 7.188" Properties=species:S:1:pos:R:3 comment="Pr8MgRh2, optimized geometry, DFT PBE" dos_ef_per_ev_atom=1.087 vol_a3_per_cell=371 space_group="No. 12" e_form_mev_per_atom=-152 pbc="T T T"
Rh -2.063 -0.346 1.857
Rh -2.181 -4.579 8.224
Pr -3.797 -2.885 6.758
Pr -4.385 0.988 1.385
Pr -3.220 0.301 4.867
Pr -4.374 -2.333 3.095
Pr 0.140 -5.914 8.696
Pr -1.024 -5.227 5.214
Pr 0.129 -2.592 6.987
Pr -0.447 -2.041 3.323
Mg 0.000 0.000 0.000



21.
20
Lattice="-4.774 -2.113 4.529 -5.474 -4.013 -7.643 6.661 -5.178 4.606" Properties=species:S:1:pos:R:3 comment="Pr3MgRh, optimized geometry, DFT PBE" dos_ef_per_ev_atom=1.014 relative_energy_mev_per_atom=0.0 vol_a3_per_cell=581 space_group="No. 12" e_form_mev_per_atom=-297 pbc="T T T"
Mg -0.378 -5.024 -0.597
Mg -3.209 -6.280 2.089
Mg -0.027 -4.077 5.488
Mg -3.560 -7.228 -3.997
Pr 0.154 -6.512 2.397
Pr -6.139 -4.749 -3.410
Pr 3.093 -4.900 0.975
Pr 1.383 -1.729 0.651
Pr 2.199 -7.507 -1.181
Pr -1.557 -3.341 2.074
Pr 2.553 -6.556 4.902
Pr -3.741 -4.792 -0.906
Pr -4.970 -9.575 0.840
Pr -2.030 -7.963 -0.583
Pr -6.680 -6.404 0.517
Pr -5.786 -3.797 2.672
Rh -3.528 -1.563 3.347
Rh 2.783 -7.689 1.867
Rh -6.369 -3.615 -0.376
Rh -0.058 -9.742 -1.856



22.
18
Lattice="-1.438 -0.548 -8.733 1.426 -7.883 3.800 -7.123 3.220 4.186" Properties=species:S:1:pos:R:3 comment="Pr6MgRh2, optimized geometry, DFT PBE" dos_ef_per_ev_atom=0.938 vol_a3_per_cell=533 space_group="No. 71" e_form_mev_per_atom=-363 pbc="T T T"
Rh -2.781 0.868 -1.477
Rh -5.780 1.804 -3.070
Rh -0.757 -4.831 -1.412
Rh -6.377 -0.381 0.666
Pr -5.592 -3.241 1.505
Pr -3.843 -5.752 3.857
Pr -5.274 -1.083 -1.823
Pr -1.055 -2.176 -5.952
Pr -3.050 -0.556 0.958
Pr -6.080 -3.037 5.205
Pr -3.291 0.540 -4.603
Pr -1.547 -5.500 -4.316
Pr -1.860 -4.129 1.077
Pr -1.543 -1.971 -2.251
Pr -5.587 0.288 3.570
Pr -4.085 -4.656 -1.704
Mg 0.000 0.000 0.000
Mg -2.848 -2.332 3.993



23.
4
Lattice="3.685 0.000 0.000 0.000 3.685 0.000 0.000 0.000 7.804" Properties=species:S:1:pos:R:3 comment="Pr2MgRh, optimized geometry, DFT PBE" dos_ef_per_ev_atom=0.712 relative_energy_mev_per_atom=0.0 vol_a3_per_cell=106 space_group="No. 123" e_form_mev_per_atom=-345 pbc="T T T"
Rh 1.842 1.842 0.000
Pr 0.000 0.000 1.673
Pr 0.000 0.000 6.131
Mg 1.842 1.842 3.902